First-principles (PBE) data for a relaxed structure of Sm2Dy2CBr2Cl3, as listed in OQMD via LeMat-Bulk.

Cell: 8.890 8.890 7.908 Å, 102.94 102.94 24.48°
Each line ends with the local moment (μB).
Positions (direct):
1 Br 0.164 0.164 0.363  0.00
2 Br 0.836 0.836 0.637  0.00
3 C 0.500 0.500 0.000  0.00
4 Cl 0.833 0.833 0.172  0.00
5 Cl 0.500 0.500 0.500  0.00
6 Cl 0.167 0.167 0.828  0.00
7 Dy 0.998 0.998 0.208  0.00
8 Dy 0.002 0.002 0.792  0.00
9 Sm 0.646 0.646 0.079  0.05
10 Sm 0.354 0.354 0.921  0.05

Properties
The value obtained for the offset from the most stable computed form is 0.0086 eV/atom. Its space-group type is C2/m (12).